Entry 1:
# LiPmLuMn

LiPmLuMn after structural relaxation (PBE-GGA, Alexandria).

The calculation puts the total energy at -0.3644 Ry per atom. Its energy of formation from the pure elements is 131 meV per atom.

The structure belongs to space group F-43m (No. 216); the cell edges are 7.130, 7.130 and 7.130 Å and the angles 90.00°, 90.00° and 90.00°. The distinct sites, in fractional coordinates, are Li at (0.000, 0.000, 0.000), Pm at (0.250, 0.250, 0.750), Lu at (0.250, 0.250, 0.250) and Mn at (0.000, 0.000, 0.500).

=====

Entry 2:
# Ho2NbSi

Ho2NbSi after structural relaxation (PBE-GGA, Alexandria).

The raw formation energy comes out at 8.62 kcal/mol of atoms. The calculation puts the total energy at -0.4254 Ry per atom.

The structure belongs to space group R-3m (No. 166, hexagonal axes); the cell edges are 3.2233, 3.2233 and 31.0048 Å and the angles 90.00°, 90.00° and 120.00°. The distinct sites, in fractional coordinates, are Ho at (0.0000, 0.0000, 0.0948), Nb at (0.0000, 0.0000, 0.0000) and Si at (0.0000, 0.0000, 0.5000).